## one
This record from Alexandria describes Zr5AlNi2 after structural relaxation. The functional is GGA-PBE.

```
Zr5AlNi2
1.0
-1.6133 3.4080 7.1864
1.6133 -3.4080 7.1864
1.6133 3.4080 -7.1864
Zr Al Ni
5 1 2
direct
0.0000 0.0000 0.0000
0.1217 0.3609 0.7609
0.4000 0.6391 0.7609
0.6000 0.3609 0.2391
0.8783 0.6391 0.2391
0.5000 0.0000 0.5000
0.2141 0.2141 0.0000
0.7859 0.7859 0.0000
```

For the density of states at the Fermi level, the calculation gives 6.4 states/eV/cell. Its total magnetization is 0.0000 μB/atom.



## two
This record from Alexandria describes Zr5AlNi2 after structural relaxation. The functional is GGA-PBE.

```
Zr5AlNi2
1.0
6.0239 0.0000 0.0000
0.0000 11.6035 0.0000
0.0000 0.0000 4.5194
Zr Al Ni
10 2 4
direct
0.0000 0.0000 0.0000
0.1580 0.2795 0.0000
0.1925 0.5966 0.5000
0.3075 0.0966 0.5000
0.3420 0.7795 0.0000
0.5000 0.5000 0.0000
0.6580 0.2205 0.0000
0.6925 0.9034 0.5000
0.8075 0.4034 0.5000
0.8420 0.7205 0.0000
0.0000 0.5000 0.0000
0.5000 0.0000 0.0000
0.0840 0.8244 0.5000
0.4160 0.3244 0.5000
0.5840 0.6756 0.5000
0.9160 0.1756 0.5000
```

For the density of states at the Fermi level, the calculation gives 18.9 states/eV/cell. Its total magnetization is 0.0000 μB/atom.



Most stable to least stable: one, two



## one
This record from Alexandria describes Zr2Al5Ni after structural relaxation. The functional is GGA-PBE.

```
Zr2Al5Ni
1.0
5.7291 0.0000 0.0000
0.0000 11.4069 0.0000
0.0000 0.0000 4.0632
Zr Al Ni
4 10 2
direct
0.2251 0.1324 0.0000
0.2749 0.6324 0.0000
0.7251 0.3676 0.0000
0.7749 0.8676 0.0000
0.0000 0.0000 0.5000
0.0100 0.7376 0.5000
0.2181 0.3878 0.0000
0.2819 0.8878 0.0000
0.4900 0.2376 0.5000
0.5000 0.5000 0.5000
0.5100 0.7624 0.5000
0.7181 0.1122 0.0000
0.7819 0.6122 0.0000
0.9900 0.2624 0.5000
0.0000 0.5000 0.5000
0.5000 0.0000 0.5000
```

For the density of states at the Fermi level, the calculation gives 5.9 states/eV/cell. Its total magnetization is 0.0000 μB/atom.



## two
This record from Alexandria describes Zr2Al5Ni after structural relaxation. The functional is GGA-PBE.

```
Zr2Al5Ni
1.0
-1.4775 3.4175 6.9764
1.4775 -3.4175 6.9764
1.4775 3.4175 -6.9764
Zr Al Ni
2 5 1
direct
0.2125 0.2125 0.0000
0.7875 0.7875 0.0000
0.0000 0.0000 0.0000
0.1896 0.3958 0.7938
0.3980 0.6042 0.7938
0.6020 0.3958 0.2062
0.8104 0.6042 0.2062
0.5000 0.0000 0.5000
```

For the density of states at the Fermi level, the calculation gives 5.5 states/eV/cell. Its total magnetization is 0.0000 μB/atom.



Most stable to least stable: one, two



## one
This record from Alexandria describes Zr5AlNi after structural relaxation. The functional is GGA-PBE.

```
Zr5AlNi
1.0
4.2907 0.0000 0.0000
0.0000 4.2907 0.0000
0.0000 0.0000 8.2183
Zr Al Ni
5 1 1
direct
0.0000 0.0000 0.0000
0.0000 0.5000 0.2667
0.0000 0.5000 0.7333
0.5000 0.0000 0.2667
0.5000 0.0000 0.7333
0.5000 0.5000 0.5000
0.5000 0.5000 0.0000
```

For the density of states at the Fermi level, the calculation gives 10.8 states/eV/cell. Its total magnetization is 0.0001 μB/atom.



## two
This record from Alexandria describes Zr5AlNi after structural relaxation. The functional is GGA-PBE.

```
Zr5AlNi
1.0
4.3410 0.0000 0.0000
0.0000 4.3410 0.0000
0.0000 0.0000 7.8337
Zr Al Ni
5 1 1
direct
0.0000 0.0000 0.0000
0.0000 0.5000 0.2872
0.0000 0.5000 0.7128
0.5000 0.0000 0.2872
0.5000 0.0000 0.7128
0.5000 0.5000 0.0000
0.5000 0.5000 0.5000
```

For the density of states at the Fermi level, the calculation gives 9.6 states/eV/cell. Its total magnetization is 0.0000 μB/atom.



Most stable to least stable: two, one